10
Lattice="0.000 4.279 4.279 4.279 0.000 4.279 4.279 4.279 0.000" Properties=species:S:1:pos:R:3 comment="BaSmEuWO6 (GGA+U, relaxed)" spacegroup="No. 216" dft_energy_ev_per_cell=-80.58 de_polymorph_kcal_per_mol_atoms=2.668 pbc="T T T"
Ba 0.000 0.000 0.000
Sm 2.140 2.140 2.140
Eu 4.279 4.279 4.279
W 6.419 6.419 6.419
O 6.419 6.419 4.424
O 6.419 4.424 6.419
O 8.413 6.419 6.419
O 4.424 6.419 6.419
O 6.419 8.413 6.419
O 6.419 6.419 8.413